(1)
A plane-wave DFT calculation with PBE-GGA was carried out for CaHg2Rh after structural relaxation.

Properties
- calculated formation energy (meV/atom) = -266
- space group = No. 1

Lattice parameters (Å, degrees): 5.589 5.583 7.417 94.74 112.19 112.83
Sites, in units of the cell vectors:
Ca (0.073, 0.646, 0.720)
Ca (0.818, 0.087, 0.906)
Rh (0.430, 0.372, 0.808)
Rh (0.464, 0.658, 0.129)
Hg (0.421, 0.538, 0.471)
Hg (0.471, 0.161, 0.148)
Hg (0.980, 0.672, 0.147)
Hg (0.927, 0.046, 0.471)



(2)
A plane-wave DFT calculation with PBE-GGA was carried out for SiP2Rh after structural relaxation.

Properties
- space group = No. 10
- ΔE_f (raw) (eV per atom) = -0.158

Lattice parameters (Å, degrees): 3.294 4.409 4.451 71.50 90.00 90.00
Sites, in units of the cell vectors:
P (0.000, 0.968, 0.052)
P (0.000, 0.532, 0.448)
Rh (0.500, 0.250, 0.250)
Si (0.500, 0.750, 0.750)



no.,theoretical density (g/cm³)
1,9.498
2,5.226